First-principles (PBE-GGA) data for a relaxed Ba2NaSeO crystal, as listed in Alexandria via LeMat-Bulk.

The volume is 27.28 Å³ per atom. The value obtained for the raw total energy is -4.30 eV per atom. The value obtained for the raw formation energy is -1.577 eV per atom.

It has space group P4/mmm (No. 123), with a = 5.4413 Å, b = 5.4413 Å, c = 4.6070 Å, α = 90.00°, β = 90.00° and γ = 90.00°. The inequivalent atoms are Ba at (0.0000, 0.5000, 0.0000), Na at (0.0000, 0.0000, 0.5000), Se at (0.5000, 0.5000, 0.5000) and O at (0.0000, 0.0000, 0.0000).